[1]
# TbThHgOs | Alexandria via LeMat-Bulk | PBE | relaxed
# * size of the total moment: 0.000 μB per atom
# * formation enthalpy at 0 K: -197 meV per atom
# * crystal system: cubic
# * energy relative to the lowest polymorph listed for this composition: 88.6 meV per atom
# * uncorrected energy: -6.09 eV/atom
data_TbThHgOs
_chemical_formula_sum 'Tb4 Th4 Hg4 Os4'
_space_group_name_H-M_alt 'F -4 3 m'
_space_group_IT_number 216
_space_group_name_Hall 'F -4 2 3'
_cell_length_a 7.270
_cell_length_b 7.270
_cell_length_c 7.270
_cell_angle_alpha 90.00
_cell_angle_beta 90.00
_cell_angle_gamma 90.00
loop_
_atom_site_label
_atom_site_type_symbol
_atom_site_fract_x
_atom_site_fract_y
_atom_site_fract_z
Tb1 Tb 0.000 0.000 0.000
Th1 Th 0.000 0.000 0.500
Hg1 Hg 0.250 0.250 0.750
Os1 Os 0.250 0.250 0.250


[2]
# Eu2CoSi3 | Alexandria via LeMat-Bulk | PBE | relaxed
# * size of the total moment: 2.289 μB per atom
# * crystal system: hexagonal
# * raw formation energy: -436 meV per atom
# * uncorrected energy: -7.76 eV/atom
data_Eu2CoSi3
_chemical_formula_sum 'Eu2 Co1 Si3'
_space_group_name_H-M_alt 'P -6 m 2'
_space_group_IT_number 187
_space_group_name_Hall 'P -6 2'
_cell_length_a 4.0075
_cell_length_b 4.0075
_cell_length_c 8.7813
_cell_angle_alpha 90.00
_cell_angle_beta 90.00
_cell_angle_gamma 120.00
loop_
_atom_site_label
_atom_site_type_symbol
_atom_site_fract_x
_atom_site_fract_y
_atom_site_fract_z
Eu1 Eu 0.0000 0.0000 0.2393
Co1 Co 0.3333 0.6667 0.0000
Si1 Si 0.3333 0.6667 0.5000
Si2 Si 0.6667 0.3333 0.0000
Si3 Si 0.6667 0.3333 0.5000


[3]
# K2YFe | Alexandria via LeMat-Bulk | PBE | relaxed
# * size of the total moment: 0.327 μB per atom
# * formation enthalpy at 0 K: 1007 meV per atom
# * crystal system: tetragonal
# * energy relative to the lowest polymorph listed for this composition: 505.6 meV per atom
# * uncorrected energy: -3.27 eV/atom
data_K2YFe
_chemical_formula_sum 'K4 Y2 Fe2'
_space_group_name_H-M_alt 'I -4 m 2'
_space_group_IT_number 119
_space_group_name_Hall 'I -4 -2'
_cell_length_a 5.716
_cell_length_b 5.716
_cell_length_c 8.074
_cell_angle_alpha 90.00
_cell_angle_beta 90.00
_cell_angle_gamma 90.00
loop_
_atom_site_label
_atom_site_type_symbol
_atom_site_fract_x
_atom_site_fract_y
_atom_site_fract_z
K1 K 0.000 0.000 0.000
K2 K 0.000 0.500 0.250
Y1 Y 0.000 0.000 0.500
Fe1 Fe 0.000 0.500 0.750


What did the first record say?
# TbThHgOs | Alexandria via LeMat-Bulk | PBE | relaxed
# * size of the total moment: 0.000 μB per atom
# * formation enthalpy at 0 K: -197 meV per atom
# * crystal system: cubic
# * energy relative to the lowest polymorph listed for this composition: 88.6 meV per atom
# * uncorrected energy: -6.09 eV/atom
data_TbThHgOs
_chemical_formula_sum 'Tb4 Th4 Hg4 Os4'
_space_group_name_H-M_alt 'F -4 3 m'
_space_group_IT_number 216
_space_group_name_Hall 'F -4 2 3'
_cell_length_a 7.270
_cell_length_b 7.270
_cell_length_c 7.270
_cell_angle_alpha 90.00
_cell_angle_beta 90.00
_cell_angle_gamma 90.00
loop_
_atom_site_label
_atom_site_type_symbol
_atom_site_fract_x
_atom_site_fract_y
_atom_site_fract_z
Tb1 Tb 0.000 0.000 0.000
Th1 Th 0.000 0.000 0.500
Hg1 Hg 0.250 0.250 0.750
Os1 Os 0.250 0.250 0.250